Here is a relaxed CsZn3Bi3 crystal from Alexandria via LeMat-Bulk. Energies are from PBE-GGA.

a b c (Å): 7.465 7.465 11.143
angles (deg): 70.43 70.43 60.00
Element x y z (fractional)
Cs1 0.333 0.333 0.000
Cs2 0.667 0.667 0.000
Zn1 0.485 0.802 0.570
Zn2 0.802 0.142 0.570
Zn3 0.142 0.485 0.570
Zn4 0.858 0.515 0.430
Zn5 0.198 0.858 0.430
Zn6 0.515 0.198 0.430
Bi1 0.224 0.577 0.298
Bi2 0.901 0.224 0.298
Bi3 0.577 0.901 0.298
Bi4 0.423 0.099 0.702
Bi5 0.099 0.776 0.702
Bi6 0.776 0.423 0.702

Computed properties:
E_form   -0.055 eV per atom
Relative energy among the computed polymorphs   7 kJ/mol of formula units
Total moment   0.0 μB per formula unit
Final energy   -2.39 eV per atom